[1]
Crystalline TiFe3Hg at its relaxed geometry. Source: Alexandria, functional PBE.

Results
The energy relative to the elements comes out at 1554.9 meV/atom. The volume is 21.87 Å³ per atom. The energy is -5.162 eV/atom. As for the space-group type: Pm-3m, No. 221.

Geometry as POSCAR:
```
TiFe3Hg
1.0
4.782 0.000 0.000
0.000 4.782 0.000
0.000 0.000 4.782
Ti Fe Hg
1 3 1
Direct
0.000 0.000 0.000 Ti
0.000 0.500 0.500 Fe
0.500 0.000 0.500 Fe
0.500 0.500 0.000 Fe
0.500 0.500 0.500 Hg
```


[2]
Crystalline Ba2SrAu at its relaxed geometry. Source: Alexandria, functional PBE.

Results
The energy relative to the elements comes out at -350.7 meV/atom. The volume is 48.37 Å³ per atom. The energy is -2.552 eV/atom. As for the space-group type: Amm2, No. 38.

Geometry as POSCAR:
```
Ba2SrAu
1.0
4.397 0.000 0.000
0.000 4.979 0.000
0.000 0.000 17.678
Ba Sr Au
4 2 2
Direct
0.000 0.000 0.000 Ba
0.000 0.500 0.500 Ba
0.500 0.000 0.341 Ba
0.500 0.500 0.841 Ba
0.000 0.000 0.679 Sr
0.000 0.500 0.179 Sr
0.500 0.000 0.538 Au
0.500 0.500 0.038 Au
```


[3]
Crystalline KBa2Hg at its relaxed geometry. Source: Alexandria, functional PBE.

Results
The energy relative to the elements comes out at -58.5 meV/atom. The volume is 55.81 Å³ per atom. The energy is -1.370 eV/atom. As for the space-group type: I-42d, No. 122.

Geometry as POSCAR:
```
KBa2Hg
1.0
10.474 0.000 0.000
0.000 10.474 0.000
0.000 0.000 8.140
K Ba Hg
4 8 4
Direct
0.000 0.000 0.000 K
0.000 0.500 0.250 K
0.500 0.000 0.750 K
0.500 0.500 0.500 K
0.176 0.250 0.625 Ba
0.250 0.676 0.875 Ba
0.250 0.824 0.375 Ba
0.324 0.250 0.125 Ba
0.676 0.750 0.125 Ba
0.750 0.176 0.375 Ba
0.750 0.324 0.875 Ba
0.824 0.750 0.625 Ba
0.000 0.000 0.500 Hg
0.000 0.500 0.750 Hg
0.500 0.000 0.250 Hg
0.500 0.500 0.000 Hg
```


[4]
Crystalline Zr3Co2Rh at its relaxed geometry. Source: Alexandria, functional PBE.

Results
The energy relative to the elements comes out at -434.5 meV/atom. The volume is 16.72 Å³ per atom. The energy is -8.302 eV/atom. As for the space-group type: P4/mmm, No. 123.

Geometry as POSCAR:
```
Zr3Co2Rh
1.0
3.192 0.000 0.000
0.000 3.192 0.000
0.000 0.000 9.846
Zr Co Rh
3 2 1
Direct
0.000 0.000 0.000 Zr
0.000 0.000 0.324 Zr
0.000 0.000 0.676 Zr
0.500 0.500 0.163 Co
0.500 0.500 0.837 Co
0.500 0.500 0.500 Rh
```


[5]
Crystalline Ca2NiC at its relaxed geometry. Source: Alexandria, functional PBE.

Results
The energy relative to the elements comes out at 821.1 meV/atom. The volume is 20.03 Å³ per atom. The energy is -3.931 eV/atom. As for the space-group type: I-42d, No. 122.

Geometry as POSCAR:
```
Ca2NiC
1.0
7.186 0.000 0.000
0.000 7.186 0.000
0.000 0.000 6.206
Ca Ni C
8 4 4
Direct
0.200 0.250 0.125 Ca
0.250 0.700 0.375 Ca
0.250 0.800 0.875 Ca
0.300 0.250 0.625 Ca
0.700 0.750 0.625 Ca
0.750 0.200 0.875 Ca
0.750 0.300 0.375 Ca
0.800 0.750 0.125 Ca
0.000 0.000 0.500 Ni
0.000 0.500 0.750 Ni
0.500 0.000 0.250 Ni
0.500 0.500 0.000 Ni
0.000 0.000 0.000 C
0.000 0.500 0.250 C
0.500 0.000 0.750 C
0.500 0.500 0.500 C
```


[6]
Crystalline Tb2Sm5Te4 at its relaxed geometry. Source: Alexandria, functional PBE.

Results
The volume is 35.51 Å³ per atom. The energy is -4.773 eV/atom. The formation energy (no corrections) is -0.643 eV per atom. As for the space-group type: C2/m, No. 12.

Geometry as POSCAR:
```
Tb2Sm5Te4
1.0
12.594 -2.050 0.000
12.594 2.050 0.000
-0.391 0.000 7.563
Tb Sm Te
2 5 4
Direct
0.233 0.233 0.317 Tb
0.767 0.767 0.683 Tb
0.000 0.000 0.500 Sm
0.336 0.336 0.003 Sm
0.365 0.365 0.492 Sm
0.635 0.635 0.508 Sm
0.664 0.664 0.997 Sm
0.099 0.099 0.224 Te
0.451 0.451 0.225 Te
0.549 0.549 0.775 Te
0.901 0.901 0.776 Te
```


[7]
Crystalline Pm5PrSn3 at its relaxed geometry. Source: Alexandria, functional PBE.

Results
The energy relative to the elements comes out at -581.6 meV/atom. The volume is 29.94 Å³ per atom. The energy is -5.086 eV/atom. As for the space-group type: P6_3/mcm, No. 193.

Geometry as POSCAR:
```
Pm5PrSn3
1.0
9.607 0.000 0.000
-4.804 8.320 0.000
0.000 0.000 6.742
Pm Pr Sn
10 2 6
Direct
0.000 0.333 0.250 Pm
0.000 0.667 0.750 Pm
0.333 0.000 0.250 Pm
0.333 0.333 0.750 Pm
0.333 0.667 0.000 Pm
0.333 0.667 0.500 Pm
0.667 0.000 0.750 Pm
0.667 0.333 0.000 Pm
0.667 0.333 0.500 Pm
0.667 0.667 0.250 Pm
0.000 0.000 0.000 Pr
0.000 0.000 0.500 Pr
0.000 0.335 0.750 Sn
0.000 0.665 0.250 Sn
0.335 0.000 0.750 Sn
0.335 0.335 0.250 Sn
0.665 0.000 0.250 Sn
0.665 0.665 0.750 Sn
```


[8]
Crystalline Rb10Te2O3 at its relaxed geometry. Source: Alexandria, functional PBE.

Results
The volume is 36.67 Å³ per atom. The energy is -3.023 eV/atom. The formation energy (no corrections) is -0.968 eV per atom. As for the space-group type: C2/m, No. 12.

Geometry as POSCAR:
```
Rb10Te2O3
1.0
12.813 -4.126 0.000
12.813 4.126 0.000
-4.130 0.000 10.402
Rb Te O
20 4 6
Direct
0.000 0.500 0.500 Rb
0.021 0.021 0.675 Rb
0.087 0.612 0.016 Rb
0.138 0.138 0.249 Rb
0.155 0.622 0.480 Rb
0.219 0.781 0.000 Rb
0.232 0.232 0.765 Rb
0.378 0.845 0.520 Rb
0.388 0.913 0.984 Rb
0.480 0.480 0.323 Rb
0.500 0.000 0.500 Rb
0.520 0.520 0.677 Rb
0.612 0.087 0.016 Rb
0.622 0.155 0.480 Rb
0.768 0.768 0.235 Rb
0.781 0.219 0.000 Rb
0.845 0.378 0.520 Rb
0.862 0.862 0.751 Rb
0.913 0.388 0.984 Rb
0.979 0.979 0.325 Rb
0.281 0.281 0.200 Te
0.381 0.381 0.772 Te
0.619 0.619 0.228 Te
0.719 0.719 0.800 Te
0.074 0.074 0.949 O
0.173 0.173 0.514 O
0.261 0.739 0.500 O
0.739 0.261 0.500 O
0.827 0.827 0.486 O
0.926 0.926 0.051 O
```


> What is the formula in the fifth record?

Ca2NiC


> The highest energy belongs to which entry?

KBa2Hg


> Number 3 is which compound?

KBa2Hg